Below is AlTlO2 after structural relaxation, with properties calculated at the PBE level.

abc: 7.3291 2.8705 12.1463
angles: 90.00 90.00 90.00
Sites, in units of the cell vectors:
Al: 0.6029 0.7500 0.5758
O: 0.1407 0.2500 0.0343
O: 0.1492 0.2500 0.8322
O: 0.8593 0.7500 0.9657
Al: 0.1029 0.7500 0.9242
Tl: 0.0753 0.2500 0.6426
Tl: 0.4247 0.7500 0.1426
Tl: 0.9247 0.7500 0.3574
O: 0.6492 0.2500 0.6678
O: 0.8508 0.7500 0.1678
Al: 0.8971 0.2500 0.0758
Al: 0.3971 0.2500 0.4242
Tl: 0.5753 0.2500 0.8574
O: 0.3508 0.7500 0.3322
O: 0.6407 0.2500 0.4657
O: 0.3593 0.7500 0.5343

- Crystal system: orthorhombic
- Total DFT energy (no corrections): -94.56 eV per cell
- Total moment: 0.0 μB per formula unit
- SG: Pnma, No. 62